Ba2BeSb | GGA-PBE | relaxed

D(E_F) in states/eV/f.u.: 4.83
Formation energy from raw total energies in eV per atom: -0.1516

Lattice parameters (Å, degrees): 8.285 8.285 8.285 90.00 90.00 90.00
Atoms (fractional coordinates):
Ba: 0.250 0.250 0.250
Ba: 0.250 0.250 0.750
Ba: 0.250 0.750 0.250
Ba: 0.250 0.750 0.750
Ba: 0.750 0.250 0.250
Ba: 0.750 0.250 0.750
Ba: 0.750 0.750 0.250
Ba: 0.750 0.750 0.750
Be: 0.000 0.000 0.000
Be: 0.000 0.500 0.500
Be: 0.500 0.000 0.500
Be: 0.500 0.500 0.000
Sb: 0.000 0.000 0.500
Sb: 0.000 0.500 0.000
Sb: 0.500 0.000 0.000
Sb: 0.500 0.500 0.500



BaBeSb | GGA-PBE | relaxed

D(E_F) in states/eV/f.u.: 1.65
Formation energy from raw total energies in eV per atom: -0.0351

Lattice parameters (Å, degrees): 6.997 6.997 6.997 90.00 90.00 90.00
Atoms (fractional coordinates):
Ba: 0.000 0.000 0.000
Ba: 0.000 0.500 0.500
Ba: 0.500 0.000 0.500
Ba: 0.500 0.500 0.000
Be: 0.250 0.250 0.750
Be: 0.250 0.750 0.250
Be: 0.750 0.250 0.250
Be: 0.750 0.750 0.750
Sb: 0.000 0.000 0.500
Sb: 0.000 0.500 0.000
Sb: 0.500 0.000 0.000
Sb: 0.500 0.500 0.500



Ba2BeSb | GGA-PBE | relaxed

D(E_F) in states/eV/f.u.: 2.22
Formation energy from raw total energies in eV per atom: -0.2761

Lattice parameters (Å, degrees): 4.169 5.357 11.703 90.00 90.00 90.00
Atoms (fractional coordinates):
Ba: 0.000 0.000 0.000
Ba: 0.000 0.500 0.206
Ba: 0.500 0.000 0.706
Ba: 0.500 0.500 0.500
Be: 0.000 0.500 0.786
Be: 0.500 0.000 0.286
Sb: 0.000 0.000 0.411
Sb: 0.500 0.500 0.911



Ba2BeSb | GGA-PBE | relaxed

D(E_F) in states/eV/f.u.: 4.87
Formation energy from raw total energies in eV per atom: 0.0764

Lattice parameters (Å, degrees): 3.877 3.877 9.730 90.00 90.00 90.00
Atoms (fractional coordinates):
Ba: 0.000 0.000 0.000
Ba: 0.500 0.500 0.419
Be: 0.000 0.000 0.662
Sb: 0.500 0.500 0.760



BaBe4Sb | GGA-PBE | relaxed

D(E_F) in states/eV/f.u.: 2.86
Formation energy from raw total energies in eV per atom: 0.7062

Lattice parameters (Å, degrees): 5.360 5.360 5.360 60.00 60.00 60.00
Atoms (fractional coordinates):
Ba: 0.000 0.000 0.000
Be: 0.090 0.637 0.637
Be: 0.637 0.090 0.637
Be: 0.637 0.637 0.090
Be: 0.637 0.637 0.637
Sb: 0.250 0.250 0.250



Ba2BeSb | GGA-PBE | relaxed

D(E_F) in states/eV/f.u.: 4.59
Formation energy from raw total energies in eV per atom: 0.0355

Lattice parameters (Å, degrees): 4.949 4.973 6.978 90.00 90.00 90.00
Atoms (fractional coordinates):
Ba: 0.000 0.000 0.000
Ba: 0.500 0.500 0.499
Be: 0.500 0.500 0.997
Sb: 0.000 0.000 0.500



BaBeSb2 | GGA-PBE | relaxed

D(E_F) in states/eV/f.u.: 3.92
Formation energy from raw total energies in eV per atom: 0.2479

Lattice parameters (Å, degrees): 7.751 7.751 7.751 90.00 90.00 90.00
Atoms (fractional coordinates):
Ba: 0.000 0.000 0.000
Ba: 0.000 0.500 0.500
Ba: 0.500 0.000 0.500
Ba: 0.500 0.500 0.000
Be: 0.250 0.250 0.750
Be: 0.250 0.750 0.250
Be: 0.750 0.250 0.250
Be: 0.750 0.750 0.750
Sb: 0.000 0.000 0.500
Sb: 0.000 0.500 0.000
Sb: 0.250 0.250 0.250
Sb: 0.250 0.750 0.750
Sb: 0.500 0.000 0.000
Sb: 0.500 0.500 0.500
Sb: 0.750 0.250 0.750
Sb: 0.750 0.750 0.250



BaBeSb2 | GGA-PBE | relaxed

D(E_F) in states/eV/f.u.: 2.01
Formation energy from raw total energies in eV per atom: 0.1109

Lattice parameters (Å, degrees): 4.621 4.621 10.693 90.00 90.00 90.00
Atoms (fractional coordinates):
Ba: 0.000 0.000 0.000
Ba: 0.500 0.500 0.500
Be: 0.000 0.000 0.500
Be: 0.500 0.500 0.000
Sb: 0.000 0.500 0.250
Sb: 0.000 0.500 0.750
Sb: 0.500 0.000 0.250
Sb: 0.500 0.000 0.750



Ba2BeSb | GGA-PBE | relaxed

D(E_F) in states/eV/f.u.: 1.95
Formation energy from raw total energies in eV per atom: -0.1672

Lattice parameters (Å, degrees): 5.629 5.629 4.481 90.00 90.00 90.00
Atoms (fractional coordinates):
Ba: 0.000 0.500 0.000
Ba: 0.500 0.000 0.000
Be: 0.000 0.000 0.500
Sb: 0.500 0.500 0.500



BaBeSb2 | GGA-PBE | relaxed

D(E_F) in states/eV/f.u.: 2.61
Formation energy from raw total energies in eV per atom: 0.0905

Lattice parameters (Å, degrees): 4.836 4.836 4.815 90.00 90.00 90.00
Atoms (fractional coordinates):
Ba: 0.000 0.000 0.000
Be: 0.500 0.500 0.000
Sb: 0.000 0.500 0.500
Sb: 0.500 0.000 0.500



Ba2BeSb | GGA-PBE | relaxed

D(E_F) in states/eV/f.u.: 2.38
Formation energy from raw total energies in eV per atom: -0.3327

Lattice parameters (Å, degrees): 4.398 5.071 12.757 90.00 90.00 90.00
Atoms (fractional coordinates):
Ba: 0.000 0.000 0.000
Ba: 0.000 0.500 0.500
Ba: 0.500 0.000 0.284
Ba: 0.500 0.500 0.784
Be: 0.000 0.000 0.698
Be: 0.000 0.500 0.198
Sb: 0.500 0.000 0.585
Sb: 0.500 0.500 0.085



BaBeSb2 | GGA-PBE | relaxed

D(E_F) in states/eV/f.u.: 1.31
Formation energy from raw total energies in eV per atom: -0.2605

Lattice parameters (Å, degrees): 5.092 4.020 6.485 90.00 90.05 90.00
Atoms (fractional coordinates):
Ba: 0.000 0.000 0.000
Be: 0.500 0.000 0.500
Sb: 0.499 0.500 0.738
Sb: 0.501 0.500 0.262